# Sc2SbTeW | the Alexandria database | PBE | optimized geometry
# Total moment (μB/cell): 0.0
# E (eV/atom): -6.297
# Crystal system: tetragonal
# ΔE_f (raw) (eV/atom): 0.279
data_Sc2SbTeW
_cell_length_a 5.256
_cell_length_b 5.058
_cell_length_c 5.256
_cell_angle_alpha 90.00
_cell_angle_beta 90.00
_cell_angle_gamma 90.00
_symmetry_space_group_name_H-M 'P 1'
_symmetry_Int_Tables_number 1
_symmetry_space_group_name_Hall 'P 1'
loop_
_atom_site_label
_atom_site_type_symbol
_atom_site_fract_x
_atom_site_fract_y
_atom_site_fract_z
_atom_site_occupancy
Sc1 Sc 0.000 0.000 0.500 1
Sc2 Sc 0.500 0.000 0.000 1
Sb1 Sb 0.000 0.500 0.000 1
Te1 Te 0.500 0.500 0.500 1
W1 W 0.000 0.000 0.000 1